Entry 1:
MgGaCuRe | PBE | optimized geometry Values from VASP.

Quantum ESPRESSO input file:
```
&SYSTEM
  ibrav = 0, nat = 16, ntyp = 4
/
ATOMIC_SPECIES
Mg 24.30 Mg.upf
Ga 69.72 Ga.upf
Cu 63.55 Cu.upf
Re 186.21 Re.upf
ATOMIC_POSITIONS crystal
Mg 0.0000 0.0000 0.0000
Mg 0.0000 0.5000 0.5000
Mg 0.5000 0.0000 0.5000
Mg 0.5000 0.5000 0.0000
Ga 0.0000 0.0000 0.5000
Ga 0.0000 0.5000 0.0000
Ga 0.5000 0.0000 0.0000
Ga 0.5000 0.5000 0.5000
Cu 0.2500 0.2500 0.7500
Cu 0.2500 0.7500 0.2500
Cu 0.7500 0.2500 0.2500
Cu 0.7500 0.7500 0.7500
Re 0.2500 0.2500 0.2500
Re 0.2500 0.7500 0.7500
Re 0.7500 0.2500 0.7500
Re 0.7500 0.7500 0.2500
CELL_PARAMETERS angstrom
6.1622 0.0000 0.0000
0.0000 6.1622 0.0000
0.0000 0.0000 6.1622
```

distance to the lowest polymorph of the same formula	0.0	meV per atom

Entry 2:
MgTaGaCu | PBE | optimized geometry Values from VASP.

Quantum ESPRESSO input file:
```
&SYSTEM
  ibrav = 0, nat = 16, ntyp = 4
/
ATOMIC_SPECIES
Mg 24.30 Mg.upf
Ta 180.95 Ta.upf
Ga 69.72 Ga.upf
Cu 63.55 Cu.upf
ATOMIC_POSITIONS crystal
Mg 0.0000 0.0000 0.0000
Mg 0.0000 0.5000 0.5000
Mg 0.5000 0.0000 0.5000
Mg 0.5000 0.5000 0.0000
Ta 0.2500 0.2500 0.2500
Ta 0.2500 0.7500 0.7500
Ta 0.7500 0.2500 0.7500
Ta 0.7500 0.7500 0.2500
Ga 0.0000 0.0000 0.5000
Ga 0.0000 0.5000 0.0000
Ga 0.5000 0.0000 0.0000
Ga 0.5000 0.5000 0.5000
Cu 0.2500 0.2500 0.7500
Cu 0.2500 0.7500 0.2500
Cu 0.7500 0.2500 0.2500
Cu 0.7500 0.7500 0.7500
CELL_PARAMETERS angstrom
6.3678 0.0000 0.0000
0.0000 6.3678 0.0000
0.0000 0.0000 6.3678
```

distance to the lowest polymorph of the same formula	0.0	meV per atom

Entry 3:
MgTaGaCu | PBE | optimized geometry Values from VASP.

Quantum ESPRESSO input file:
```
&SYSTEM
  ibrav = 0, nat = 16, ntyp = 4
/
ATOMIC_SPECIES
Mg 24.30 Mg.upf
Ta 180.95 Ta.upf
Ga 69.72 Ga.upf
Cu 63.55 Cu.upf
ATOMIC_POSITIONS crystal
Mg 0.0000 0.0000 0.0000
Mg 0.0000 0.5000 0.5000
Mg 0.5000 0.0000 0.5000
Mg 0.5000 0.5000 0.0000
Ta 0.2500 0.2500 0.7500
Ta 0.2500 0.7500 0.2500
Ta 0.7500 0.2500 0.2500
Ta 0.7500 0.7500 0.7500
Ga 0.2500 0.2500 0.2500
Ga 0.2500 0.7500 0.7500
Ga 0.7500 0.2500 0.7500
Ga 0.7500 0.7500 0.2500
Cu 0.0000 0.0000 0.5000
Cu 0.0000 0.5000 0.0000
Cu 0.5000 0.0000 0.0000
Cu 0.5000 0.5000 0.5000
CELL_PARAMETERS angstrom
6.3687 0.0000 0.0000
0.0000 6.3687 0.0000
0.0000 0.0000 6.3687
```

distance to the lowest polymorph of the same formula	108.2	meV per atom

Entry 4:
MgGaCuTc | PBE | optimized geometry Values from VASP.

Quantum ESPRESSO input file:
```
&SYSTEM
  ibrav = 0, nat = 16, ntyp = 4
/
ATOMIC_SPECIES
Mg 24.30 Mg.upf
Ga 69.72 Ga.upf
Cu 63.55 Cu.upf
Tc 98.00 Tc.upf
ATOMIC_POSITIONS crystal
Mg 0.0000 0.0000 0.0000
Mg 0.0000 0.5000 0.5000
Mg 0.5000 0.0000 0.5000
Mg 0.5000 0.5000 0.0000
Ga 0.0000 0.0000 0.5000
Ga 0.0000 0.5000 0.0000
Ga 0.5000 0.0000 0.0000
Ga 0.5000 0.5000 0.5000
Cu 0.2500 0.2500 0.7500
Cu 0.2500 0.7500 0.2500
Cu 0.7500 0.2500 0.2500
Cu 0.7500 0.7500 0.7500
Tc 0.2500 0.2500 0.2500
Tc 0.2500 0.7500 0.7500
Tc 0.7500 0.2500 0.7500
Tc 0.7500 0.7500 0.2500
CELL_PARAMETERS angstrom
6.1253 0.0000 0.0000
0.0000 6.1253 0.0000
0.0000 0.0000 6.1253
```

distance to the lowest polymorph of the same formula	0.0	meV per atom